# 1
Below is a relaxed YCoSi2 crystal, with properties calculated at the PBE level.

The calculation puts the magnetization at 0.001 μB/f.u. The uncorrected formation energy is -1.452 eV/f.u. As for the density: 4.88 g/cm3.

The structure belongs to space group Pmm2 (No. 25); the cell edges are 3.614, 3.662 and 5.250 Å and the angles 90.00°, 90.00° and 90.00°. The distinct sites, in fractional coordinates, are Y at (0.000, 0.000, 0.000), Co at (0.500, 0.000, 0.488), Si at (0.000, 0.500, 0.447) and Si at (0.500, 0.500, 0.747).

# 2
Below is a relaxed Y2CoSi crystal, with properties calculated at the PBE level.

The calculation puts the magnetization at 0.000 μB/f.u. The uncorrected formation energy is 0.273 eV/f.u. As for the density: 5.01 g/cm3.

The structure belongs to space group I-42d (No. 122); the cell edges are 7.432, 7.432 and 6.361 Å and the angles 90.00°, 90.00° and 90.00°. The distinct sites, in fractional coordinates, are Y at (0.217, 0.250, 0.125), Co at (0.000, 0.000, 0.000) and Si at (0.000, 0.000, 0.500).

# 3
Below is a relaxed YCoSi2 crystal, with properties calculated at the PBE level.

The calculation puts the magnetization at 0.000 μB/f.u. The uncorrected formation energy is -0.959 eV/f.u. As for the density: 4.92 g/cm3.

The structure belongs to space group Cmcm (No. 63); the cell edges are 3.075, 24.326 and 3.681 Å and the angles 90.00°, 90.00° and 90.00°. The distinct sites, in fractional coordinates, are Y at (0.000, 0.150, 0.250), Co at (0.000, 0.459, 0.250), Si at (0.000, 0.034, 0.250) and Si at (0.000, 0.241, 0.750).

# 4
Below is a relaxed Y2ZnCo5Si2 crystal, with properties calculated at the PBE level.

The calculation puts the magnetization at 0.000 μB/f.u. The uncorrected formation energy is -3.629 eV/f.u. As for the density: 6.81 g/cm3.

The structure belongs to space group P4/mbm (No. 127); the cell edges are 9.423, 9.423 and 3.264 Å and the angles 90.00°, 90.00° and 90.00°. The distinct sites, in fractional coordinates, are Y at (0.177, 0.323, 0.000), Zn at (0.000, 0.000, 0.000), Co at (0.000, 0.500, 0.500), Co at (0.065, 0.784, 0.500) and Si at (0.121, 0.621, 0.000).

# 5
Below is a relaxed YbCo2Si2 crystal, with properties calculated at the PBE level.

The calculation puts the magnetization at 0.159 μB/f.u. The uncorrected formation energy is -3.606 eV/f.u. As for the density: 7.86 g/cm3.

The structure belongs to space group I4/mmm (No. 139); the cell edges are 3.866, 3.866 and 9.808 Å and the angles 90.00°, 90.00° and 90.00°. The distinct sites, in fractional coordinates, are Yb at (0.000, 0.000, 0.000), Co at (0.000, 0.500, 0.250) and Si at (0.000, 0.000, 0.371).

# 6
Below is a relaxed ZnCoSi2 crystal, with properties calculated at the PBE level.

The calculation puts the magnetization at 0.000 μB/f.u. The uncorrected formation energy is 0.359 eV/f.u. As for the density: 5.42 g/cm3.

The structure belongs to space group P2/m (No. 10); the cell edges are 3.020, 3.956 and 4.781 Å and the angles 90.00°, 104.39° and 90.00°. The distinct sites, in fractional coordinates, are Zn at (0.000, 0.000, 0.000), Co at (0.500, 0.000, 0.500) and Si at (0.471, 0.500, 0.747).

# 7
Below is a relaxed ZnCoSi2 crystal, with properties calculated at the PBE level.

The calculation puts the magnetization at 0.000 μB/f.u. The uncorrected formation energy is -0.019 eV/f.u. As for the density: 5.40 g/cm3.

The structure belongs to space group Immm (No. 71); the cell edges are 2.530, 4.206 and 10.435 Å and the angles 90.00°, 90.00° and 90.00°. The distinct sites, in fractional coordinates, are Zn at (0.000, 0.000, 0.000), Co at (0.000, 0.000, 0.500) and Si at (0.000, 0.500, 0.190).

# 8
Below is a relaxed ZnCoSi2 crystal, with properties calculated at the PBE level.

The calculation puts the magnetization at 0.000 μB/f.u. The uncorrected formation energy is 0.518 eV/f.u. As for the density: 5.90 g/cm3.

The structure belongs to space group Cmmm (No. 65); the cell edges are 4.945, 7.276 and 2.826 Å and the angles 90.00°, 90.00° and 90.00°. The distinct sites, in fractional coordinates, are Zn at (0.000, 0.000, 0.000), Co at (0.000, 0.500, 0.000) and Si at (0.250, 0.250, 0.500).

# 9
Below is a relaxed ZnCoSi2 crystal, with properties calculated at the PBE level.

The calculation puts the magnetization at 0.333 μB/f.u. The uncorrected formation energy is -0.042 eV/f.u. As for the density: 5.72 g/cm3.

The structure belongs to space group C2/m (No. 12); the cell edges are 7.723, 2.811 and 4.923 Å and the angles 90.00°, 101.40° and 90.00°. The distinct sites, in fractional coordinates, are Zn at (0.000, 0.000, 0.000), Co at (0.000, 0.500, 0.500) and Si at (0.238, 0.000, 0.713).

# 10
Below is a relaxed ZnCoSi2 crystal, with properties calculated at the PBE level.

The calculation puts the magnetization at 0.000 μB/f.u. The uncorrected formation energy is 0.145 eV/f.u. As for the density: 5.83 g/cm3.

The structure belongs to space group P4mm (No. 99); the cell edges are 3.258, 3.258 and 4.843 Å and the angles 90.00°, 90.00° and 90.00°. The distinct sites, in fractional coordinates, are Zn at (0.000, 0.000, 0.000), Co at (0.500, 0.500, 0.282), Si at (0.000, 0.000, 0.488) and Si at (0.500, 0.500, 0.756).

# 11
Below is a relaxed Zn3CoSi crystal, with properties calculated at the PBE level.

The energy above the most stable polymorph in this dataset comes out at 0.0 meV/atom. The calculation puts the magnetization at 0.586 μB/f.u. The uncorrected formation energy is 3.260 eV/f.u. As for the density: 5.08 g/cm3.

The structure belongs to space group Pm-3m (No. 221); the cell edges are 4.523, 4.523 and 4.523 Å and the angles 90.00°, 90.00° and 90.00°. The distinct sites, in fractional coordinates, are Zn at (0.000, 0.000, 0.500), Co at (0.000, 0.000, 0.000) and Si at (0.500, 0.500, 0.500).

# 12
Below is a relaxed Zn4CoSi crystal, with properties calculated at the PBE level.

The calculation puts the magnetization at 0.368 μB/f.u. The uncorrected formation energy is 1.614 eV/f.u. As for the density: 6.83 g/cm3.

The structure belongs to space group F-43m (No. 216); the cell edges are 6.972, 6.972 and 6.972 Å and the angles 90.00°, 90.00° and 90.00°. The distinct sites, in fractional coordinates, are Zn at (0.124, 0.124, 0.124), Co at (0.250, 0.250, 0.750) and Si at (0.000, 0.000, 0.500).

Which of these has the highest density?
YbCo2Si2

The highest uncorrected formation energy belongs to which entry?
Zn3CoSi

The highest uncorrected formation energy belongs to which entry?
Zn3CoSi

The highest uncorrected formation energy belongs to which entry?
Zn3CoSi